## CoSb6Au (PBE)

Data for a relaxed CoSb6Au crystal.

a b c (Å): 8.1502 8.1502 9.4978
angles (deg): 124.75 124.75 70.44
Positions (direct):
Co1 0.0000 0.5000 0.0000
Co2 0.5000 0.0000 0.0000
Sb1 0.1404 0.8273 0.1404
Sb2 0.1727 0.8596 0.8596
Sb3 0.1869 0.5036 0.3283
Sb4 0.3249 0.3249 0.9844
Sb5 0.3610 0.3610 0.7108
Sb6 0.4964 0.8131 0.6717
Sb7 0.5036 0.1869 0.3283
Sb8 0.6390 0.6390 0.2892
Sb9 0.6751 0.6751 0.0156
Sb10 0.8131 0.4964 0.6717
Sb11 0.8273 0.1404 0.1404
Sb12 0.8596 0.1727 0.8596
Au1 0.0000 0.5000 0.5000
Au2 0.5000 0.0000 0.5000

Results
- energy (eV/atom) = -4.460
- N(E_F) (states/eV/cell) = 8.26